First-principles (PBE-GGA) data for an optimized crystal structure of Ce2DyMgP4, as listed in the Alexandria database.

The space group is P2/m (No. 10) and the conventional cell measures 6.855, 4.057 and 7.020 Å, with angles of 90.00, 110.32 and 90.00 degrees. The asymmetric unit holds Ce at (0.000, 0.000, 0.000), Ce at (0.000, 0.500, 0.500), Dy at (0.500, 0.000, 0.500), Mg at (0.500, 0.500, 0.000), P at (0.252, 0.500, 0.251) and P at (0.254, 0.000, 0.754).

For the energy of formation from the pure elements, the calculation gives -1.242 eV per atom. Its calculated volume is 183 Å³/f.u.